(1)
! GGA-PBE ZrBrO2, relaxed; values from VASP
! uncorrected formation energy: -200.7 kJ per mole of atoms
&SYSTEM
  ibrav = 0, nat = 8, ntyp = 3
/
ATOMIC_SPECIES
Zr 91.22 Zr.upf
O 16.00 O.upf
Br 79.90 Br.upf
CELL_PARAMETERS angstrom
6.4511 0.0000 0.0000
0.0000 6.4511 0.0000
3.2256 3.2256 4.5741
ATOMIC_POSITIONS crystal
Zr 0.0000 0.0000 0.0000
O 0.8769 0.6250 0.2500
O 0.8750 0.1231 0.7500
O 0.8731 0.1250 0.2500
Zr 0.7500 0.2500 0.5000
Br 0.5000 0.5000 0.0000
O 0.3750 0.1269 0.7500
Br 0.2500 0.7500 0.5000



(2)
! GGA-PBE Os3Br, relaxed; values from VASP
! uncorrected formation energy: 132.8 kJ per mole of atoms
&SYSTEM
  ibrav = 0, nat = 4, ntyp = 2
/
ATOMIC_SPECIES
Os 190.23 Os.upf
Br 79.90 Br.upf
CELL_PARAMETERS angstrom
-3.3629 1.6633 -2.9602
3.2132 -2.3080 -2.6809
-1.4542 -2.3860 0.3113
ATOMIC_POSITIONS crystal
Os 0.5000 0.0000 0.5000
Os 0.5000 0.5000 0.0000
Br 0.0000 0.0000 0.0000
Os 0.0000 0.5000 0.5000



(3)
! GGA-PBE OsBr3, relaxed; values from VASP
! uncorrected formation energy: 19.3 kJ per mole of atoms
&SYSTEM
  ibrav = 0, nat = 8, ntyp = 2
/
ATOMIC_SPECIES
Br 79.90 Br.upf
Os 190.23 Os.upf
CELL_PARAMETERS angstrom
2.5826 8.2359 1.7115
-2.8263 0.9927 -8.2738
-3.4991 0.8282 1.2946
ATOMIC_POSITIONS crystal
Br 0.0850 0.9150 0.2500
Br 0.8142 0.5585 0.7500
Os 0.4499 0.5501 0.2500
Br 0.4415 0.1858 0.7500
Br 0.1858 0.4415 0.2500
Os 0.5501 0.4499 0.7500
Br 0.9150 0.0850 0.7500
Br 0.5585 0.8142 0.2500